Below is a relaxed Li3Fe4B4O12 crystal, with properties calculated at the PBE+U level.

Cell: 5.240 9.070 11.401 Å, 112.41 102.53 90.47°
Fractional positions:
Li  0.000  0.000  0.000
Li  0.040  0.037  0.749
Li  0.225  0.268  0.506
Li  0.503  0.505  0.002
Li  0.713  0.761  0.500
Li  0.763  0.799  0.240
Fe  0.005  0.681  0.719
Fe  0.216  0.921  0.472
Fe  0.251  0.610  0.224
Fe  0.486  0.821  0.966
Fe  0.517  0.213  0.725
Fe  0.697  0.406  0.469
Fe  0.759  0.123  0.220
Fe  0.984  0.319  0.972
B  0.009  0.356  0.714
B  0.208  0.575  0.472
B  0.252  0.932  0.207
B  0.469  0.155  0.963
B  0.499  0.862  0.715
B  0.715  0.072  0.461
B  0.750  0.452  0.220
B  0.977  0.654  0.973
O  0.074  0.753  0.918
O  0.091  0.038  0.182
O  0.147  0.556  0.016
O  0.158  0.825  0.256
O  0.198  0.132  0.946
O  0.255  0.352  0.695
O  0.312  0.681  0.425
O  0.329  0.445  0.472
O  0.363  0.976  0.681
O  0.374  0.765  0.758
O  0.479  0.103  0.498
O  0.499  0.919  0.180
O  0.576  0.281  0.941
O  0.609  0.580  0.211
O  0.631  0.050  0.998
O  0.658  0.347  0.264
O  0.726  0.659  0.987
O  0.759  0.843  0.702
O  0.822  0.928  0.450
O  0.847  0.184  0.433
O  0.853  0.469  0.685
O  0.910  0.250  0.760
O  0.976  0.611  0.518
O  0.988  0.438  0.182

Values from the calculation:
**Calculated density**: 3273 kg/m³
**Volume**: 10.6 Å³/atom
**E above lowest polymorph**: 19 kJ/mol of formula units